No. 1
First-principles (GGA-PBE) data for a relaxed RbLaVTc2 crystal, as listed in Alexandria.

It has space group P4/mmm (No. 123), with a = 4.9102 Å, b = 4.9102 Å, c = 5.7707 Å, α = 90.00°, β = 90.00° and γ = 90.00°. The distinct sites, in fractional coordinates, are Rb at (0.0000, 0.0000, 0.0000), La at (0.0000, 0.0000, 0.5000), V at (0.5000, 0.5000, 0.0000) and Tc at (0.0000, 0.5000, 0.5000).

The value obtained for the energy relative to the elements is 2.04 eV/atom. The crystal system is tetragonal. The density of states at the Fermi level comes out at 7.17 states/eV/f.u.

No. 2
First-principles (GGA-PBE) data for a relaxed Li2Zr2ScTe6 crystal, as listed in Alexandria.

It has space group C2/m (No. 12), with a = 7.0240 Å, b = 12.1837 Å, c = 7.5288 Å, α = 90.00°, β = 108.30° and γ = 90.00°. The distinct sites, in fractional coordinates, are Li at (0.0000, 0.1684, 0.0000), Zr at (0.0000, 0.3329, 0.5000), Sc at (0.0000, 0.0000, 0.5000), Te at (0.2484, 0.5000, 0.7469) and Te at (0.2493, 0.3344, 0.2522).

The uncorrected formation energy comes out at -0.9956 eV per atom. The crystal system is monoclinic. The density of states at the Fermi level comes out at 3.84 states/eV/f.u.

no.,size of the total moment (μB per formula unit)
1,1.6
2,0.0